# 1
# PBEsol Zn3AsPt, relaxed
data_Zn3AsPt
_symmetry_space_group_name_H-M 'P 1'
_symmetry_Int_Tables_number 1
_cell_length_a 4.708
_cell_length_b 4.708
_cell_length_c 4.708
_cell_angle_alpha 90.00
_cell_angle_beta 90.00
_cell_angle_gamma 90.00
loop_
_symmetry_equiv_pos_as_xyz
'x,y,z'
loop_
_atom_site_label
_atom_site_fract_x
_atom_site_fract_y
_atom_site_fract_z
Zn1 0.000 0.000 0.500
Zn2 0.000 0.500 0.000
Zn3 0.500 0.000 0.000
As1 0.500 0.500 0.500
Pt1 0.000 0.000 0.000
# Volume: 20.9 Å³/atom
# Energy above the lowest structure with this stoichiometry: 0.00 eV/f.u.
# Energy of formation from the pure elements: 0.34 eV per atom

# 2
# PBEsol BaAg2Au2, relaxed
data_BaAg2Au2
_symmetry_space_group_name_H-M 'P 1'
_symmetry_Int_Tables_number 1
_cell_length_a 6.863
_cell_length_b 6.863
_cell_length_c 6.863
_cell_angle_alpha 143.08
_cell_angle_beta 143.08
_cell_angle_gamma 53.20
loop_
_symmetry_equiv_pos_as_xyz
'x,y,z'
loop_
_atom_site_label
_atom_site_fract_x
_atom_site_fract_y
_atom_site_fract_z
Ba1 0.000 0.000 0.000
Ag1 0.250 0.750 0.500
Ag2 0.750 0.250 0.500
Au1 0.390 0.390 0.000
Au2 0.610 0.610 0.000
# Volume: 23.2 Å³/atom
# Energy of formation from the pure elements: -0.32 eV per atom

# 3
# PBEsol MnRuN2F, relaxed
data_MnRuN2F
_symmetry_space_group_name_H-M 'P 1'
_symmetry_Int_Tables_number 1
_cell_length_a 3.779
_cell_length_b 3.779
_cell_length_c 4.130
_cell_angle_alpha 90.00
_cell_angle_beta 90.00
_cell_angle_gamma 90.00
loop_
_symmetry_equiv_pos_as_xyz
'x,y,z'
loop_
_atom_site_label
_atom_site_fract_x
_atom_site_fract_y
_atom_site_fract_z
Mn1 0.000 0.000 0.000
Ru1 0.500 0.500 0.500
N1 0.000 0.500 0.500
N2 0.500 0.000 0.500
F1 0.500 0.500 0.000
# Volume: 11.8 Å³/atom
# Formation energy from raw total energies: 0.329 eV per atom
# Energy above the lowest structure with this stoichiometry: 0.00 eV/f.u.